VASP calculation (PBE-GGA) on Zr2FeTcW after structural relaxation.

abc: 4.950 4.950 4.220
angles: 90.00 90.00 90.00
Space group P4/mmm (No. 123)
Symmetry-distinct sites (fractional):
1 Zr 0.000 0.500 0.000 x2
2 Fe 0.000 0.000 0.500 x1
3 Tc 0.000 0.000 0.000 x1
4 W 0.500 0.500 0.500 x1

## Properties
Energy relative to the elements ... 1221 meV/atom
Density of states at the Fermi level ... 5.3 states/eV/f.u.
Total magnetic moment ... 0.0 μB/cell
E ... -8.5543 eV per atom

VASP calculation (PBE-GGA) on ZrFeTcW after structural relaxation.

abc: 6.311 6.311 6.311
angles: 90.00 90.00 90.00
Space group F-43m (No. 216)
Symmetry-distinct sites (fractional):
1 Zr 0.000 0.000 0.000 x4
2 Fe 0.250 0.250 0.250 x4
3 Tc 0.250 0.250 0.750 x4
4 W 0.000 0.000 0.500 x4

## Properties
Energy relative to the elements ... -68 meV/atom
Density of states at the Fermi level ... 3.1 states/eV/f.u.
Total magnetic moment ... 4.5 μB/cell
E ... -10.1503 eV per atom

VASP calculation (PBE-GGA) on YFe2Tc2 after structural relaxation.

abc: 7.520 7.520 2.676
angles: 90.00 90.00 90.00
Space group P4/mbm (No. 127)
Symmetry-distinct sites (fractional):
1 Y 0.000 0.000 0.000 x2
2 Fe 0.167 0.333 0.500 x4
3 Tc 0.122 0.622 0.000 x4

## Properties
Energy relative to the elements ... 237 meV/atom
Density of states at the Fermi level ... 6.4 states/eV/f.u.
Excess energy over the best structure of this formula in the dataset ... 0.221 eV/atom
Total magnetic moment ... 2.5 μB/cell
E ... -8.5870 eV per atom

Q: Look up the total magnetic moment of the first one.
A: 0.0 μB/cell